# Al2CuHg, optimized geometry, DFT PBE
data_Al2CuHg
_cell_length_a 2.7978
_cell_length_b 4.8464
_cell_length_c 10.4037
_cell_angle_alpha 90.00
_cell_angle_beta 90.00
_cell_angle_gamma 90.00
_space_group_name_H-M_alt 'I m m m'
_space_group_IT_number 71
_space_group_name_Hall '-I 2 2'
loop_
_atom_site_label
_atom_site_fract_x
_atom_site_fract_y
_atom_site_fract_z
_atom_site_occupancy
Al1 0.0000 0.0000 0.2155 1
Cu1 0.0000 0.5000 0.5000 1
Hg1 0.0000 0.5000 0.0000 1
# total DFT energy (no corrections)	-2.8438	eV/atom